#P
Below is a relaxed structure of ErNbNO, with properties calculated at the PBE-GGA level.

Calculated values
Total moment   0.0 μB per formula unit

Cell and atoms, written as CIF:
```
data_ErNbNO
_cell_length_a 3.436
_cell_length_b 5.988
_cell_length_c 5.757
_cell_angle_alpha 90.00
_cell_angle_beta 90.00
_cell_angle_gamma 90.00
_space_group_name_H-M_alt 'P m c 21'
_space_group_IT_number 26
_space_group_name_Hall 'P 2c -2'
loop_
_atom_site_label
_atom_site_fract_x
_atom_site_fract_y
_atom_site_fract_z
Er1 0.000 0.169 0.000
Nb1 0.500 0.389 0.432
N1 0.000 0.200 0.398
O1 0.500 0.270 0.793
```



#Q
Below is a relaxed structure of ErNbNO, with properties calculated at the PBE-GGA level.

Calculated values
Total moment   0.0 μB per formula unit

Cell and atoms, written as CIF:
```
data_ErNbNO
_cell_length_a 3.971
_cell_length_b 3.971
_cell_length_c 7.849
_cell_angle_alpha 90.00
_cell_angle_beta 90.00
_cell_angle_gamma 90.00
_space_group_name_H-M_alt 'P 4/n m m'
_space_group_IT_number 129
loop_
_space_group_symop_operation_xyz
'x,y,z'
'-x,-y,-z'
'-y+1/2,x,z'
'y+1/2,-x,-z'
'-x+1/2,-y+1/2,z'
'x+1/2,y+1/2,-z'
'y,-x+1/2,z'
'-y,x+1/2,-z'
'x+1/2,-y,-z'
'-x+1/2,y,z'
'-y,-x,-z'
'y,x,z'
'-x,y+1/2,-z'
'x,-y+1/2,z'
'y+1/2,x+1/2,-z'
'-y+1/2,-x+1/2,z'
loop_
_atom_site_label
_atom_site_fract_x
_atom_site_fract_y
_atom_site_fract_z
Er1 0.250 0.250 0.127
Nb1 0.250 0.750 0.500
N1 0.250 0.250 0.598
O1 0.250 0.750 0.000
```



#R
Below is a relaxed structure of ErNbNO, with properties calculated at the PBE-GGA level.

Calculated values
Total moment   0.4 μB per formula unit

Cell and atoms, written as CIF:
```
data_ErNbNO
_cell_length_a 11.410
_cell_length_b 6.815
_cell_length_c 3.157
_cell_angle_alpha 90.00
_cell_angle_beta 90.22
_cell_angle_gamma 90.00
_space_group_name_H-M_alt 'C 1 m 1'
_space_group_IT_number 8
_space_group_name_Hall 'C -2y'
loop_
_atom_site_label
_atom_site_fract_x
_atom_site_fract_y
_atom_site_fract_z
Er1 0.000 0.000 0.000
Er2 0.000 0.500 0.490
Nb1 0.260 0.286 0.988
N1 0.145 0.500 0.990
N2 0.339 0.500 0.493
O1 0.433 0.203 0.990
```



#S
Below is a relaxed structure of ErNbNO, with properties calculated at the PBE-GGA level.

Calculated values
Total moment   0.0 μB per formula unit

Cell and atoms, written as CIF:
```
data_ErNbNO
_cell_length_a 4.684
_cell_length_b 4.684
_cell_length_c 4.482
_cell_angle_alpha 90.00
_cell_angle_beta 90.00
_cell_angle_gamma 90.00
_space_group_name_H-M_alt 'P 4/n m m'
_space_group_IT_number 129
loop_
_space_group_symop_operation_xyz
'x,y,z'
'-x,-y,-z'
'-y+1/2,x,z'
'y+1/2,-x,-z'
'-x+1/2,-y+1/2,z'
'x+1/2,y+1/2,-z'
'y,-x+1/2,z'
'-y,x+1/2,-z'
'x+1/2,-y,-z'
'-x+1/2,y,z'
'-y,-x,-z'
'y,x,z'
'-x,y+1/2,-z'
'x,-y+1/2,z'
'y+1/2,x+1/2,-z'
'-y+1/2,-x+1/2,z'
loop_
_atom_site_label
_atom_site_fract_x
_atom_site_fract_y
_atom_site_fract_z
Er1 0.250 0.750 0.000
Nb1 0.250 0.250 0.498
N1 0.250 0.250 0.997
O1 0.250 0.750 0.500
```



Relative to the most stable structure, the computed energies are #P 13.9; #Q 0.0; #R 27.6; #S 13.2, all in kJ/mol of atoms.



#P
Below is a relaxed structure of NdErNO, with properties calculated at the PBE-GGA level.

Calculated values
Total moment   0.0 μB per formula unit

Cell and atoms, written as CIF:
```
data_NdErNO
_cell_length_a 8.177
_cell_length_b 6.732
_cell_length_c 4.999
_cell_angle_alpha 90.00
_cell_angle_beta 90.00
_cell_angle_gamma 90.00
_space_group_name_H-M_alt 'P b c m'
_space_group_IT_number 57
_space_group_name_Hall '-P 2c 2b'
loop_
_atom_site_label
_atom_site_fract_x
_atom_site_fract_y
_atom_site_fract_z
Nd1 0.126 0.068 0.250
Er1 0.379 0.585 0.250
N1 0.385 0.581 0.750
O1 0.147 0.086 0.750
```



#Q
Below is a relaxed structure of NdErNO, with properties calculated at the PBE-GGA level.

Calculated values
Total moment   0.0 μB per formula unit

Cell and atoms, written as CIF:
```
data_NdErNO
_cell_length_a 4.052
_cell_length_b 6.964
_cell_length_c 5.008
_cell_angle_alpha 90.00
_cell_angle_beta 90.00
_cell_angle_gamma 90.00
_space_group_name_H-M_alt 'P m c 21'
_space_group_IT_number 26
_space_group_name_Hall 'P 2c -2'
loop_
_atom_site_label
_atom_site_fract_x
_atom_site_fract_y
_atom_site_fract_z
Nd1 0.000 0.162 0.000
Er1 0.500 0.328 0.502
N1 0.000 0.185 0.501
O1 0.500 0.353 0.996
```



Relative to the most stable structure, the computed energies are #P 0.0; #Q 3.8, all in kJ/mol of atoms.



#P
Below is a relaxed structure of ErPdNO, with properties calculated at the PBE-GGA level.

Calculated values
Total moment   0.0 μB per formula unit

Cell and atoms, written as CIF:
```
data_ErPdNO
_cell_length_a 4.136
_cell_length_b 4.136
_cell_length_c 7.027
_cell_angle_alpha 90.00
_cell_angle_beta 90.00
_cell_angle_gamma 90.00
_space_group_name_H-M_alt 'P 4/n m m'
_space_group_IT_number 129
loop_
_space_group_symop_operation_xyz
'x,y,z'
'-x,-y,-z'
'-y+1/2,x,z'
'y+1/2,-x,-z'
'-x+1/2,-y+1/2,z'
'x+1/2,y+1/2,-z'
'y,-x+1/2,z'
'-y,x+1/2,-z'
'x+1/2,-y,-z'
'-x+1/2,y,z'
'-y,-x,-z'
'y,x,z'
'-x,y+1/2,-z'
'x,-y+1/2,z'
'y+1/2,x+1/2,-z'
'-y+1/2,-x+1/2,z'
loop_
_atom_site_label
_atom_site_fract_x
_atom_site_fract_y
_atom_site_fract_z
Er1 0.250 0.250 0.129
Pd1 0.250 0.750 0.500
N1 0.250 0.250 0.444
O1 0.250 0.750 0.000
```



#Q
Below is a relaxed structure of ErPdNO, with properties calculated at the PBE-GGA level.

Calculated values
Total moment   0.0 μB per formula unit

Cell and atoms, written as CIF:
```
data_ErPdNO
_cell_length_a 4.742
_cell_length_b 4.742
_cell_length_c 4.466
_cell_angle_alpha 90.00
_cell_angle_beta 90.00
_cell_angle_gamma 90.00
_space_group_name_H-M_alt 'P 4/n m m'
_space_group_IT_number 129
loop_
_space_group_symop_operation_xyz
'x,y,z'
'-x,-y,-z'
'-y+1/2,x,z'
'y+1/2,-x,-z'
'-x+1/2,-y+1/2,z'
'x+1/2,y+1/2,-z'
'y,-x+1/2,z'
'-y,x+1/2,-z'
'x+1/2,-y,-z'
'-x+1/2,y,z'
'-y,-x,-z'
'y,x,z'
'-x,y+1/2,-z'
'x,-y+1/2,z'
'y+1/2,x+1/2,-z'
'-y+1/2,-x+1/2,z'
loop_
_atom_site_label
_atom_site_fract_x
_atom_site_fract_y
_atom_site_fract_z
Er1 0.250 0.750 0.000
Pd1 0.250 0.250 0.495
N1 0.250 0.250 0.994
O1 0.250 0.750 0.500
```



Relative to the most stable structure, the computed energies are #P 0.0; #Q 24.6, all in kJ/mol of atoms.